Entry 1:
## CaPm7Nd4 (PBE)

Data for CaPm7Nd4 after structural relaxation.

Cell: 7.4014 6.4093 11.7909 Å, 79.58 51.04 90.00°
Sites, in units of the cell vectors:
Ca (0.0000, 0.0000, 0.0000)
Pm (0.7455, 0.4996, 0.9996)
Pm (0.2545, 0.5004, 0.0004)
Pm (0.0803, 0.2813, 0.6659)
Pm (0.9197, 0.7187, 0.3341)
Pm (0.3405, 0.7731, 0.6597)
Pm (0.5000, 0.0000, 0.0000)
Pm (0.6595, 0.2269, 0.3403)
Nd (0.4116, 0.7183, 0.3347)
Nd (0.5884, 0.2817, 0.6653)
Nd (0.8293, 0.7788, 0.6709)
Nd (0.1707, 0.2212, 0.3291)

Results
formation energy	29.1	meV per atom
total magnetic moment	0.00	μB/f.u.

Entry 2:
## CaPm6Nd12 (PBE)

Data for CaPm6Nd12 after structural relaxation.

Cell: 9.9269 9.9269 9.9269 Å, 111.62 111.62 111.62°
Sites, in units of the cell vectors:
Ca (0.0000, 0.0000, 0.0000)
Pm (0.9991, 0.6527, 0.9991)
Pm (0.9991, 0.9991, 0.6527)
Pm (0.6527, 0.9991, 0.9991)
Pm (0.0009, 0.0009, 0.3473)
Pm (0.0009, 0.3473, 0.0009)
Pm (0.3473, 0.0009, 0.0009)
Nd (0.7891, 0.2109, 0.5000)
Nd (0.4047, 0.1719, 0.4047)
Nd (0.4047, 0.4047, 0.1719)
Nd (0.8281, 0.5953, 0.5953)
Nd (0.5953, 0.5953, 0.8281)
Nd (0.5953, 0.8281, 0.5953)
Nd (0.5000, 0.7891, 0.2109)
Nd (0.2109, 0.5000, 0.7891)
Nd (0.2109, 0.7891, 0.5000)
Nd (0.5000, 0.2109, 0.7891)
Nd (0.7891, 0.5000, 0.2109)
Nd (0.1719, 0.4047, 0.4047)

Results
formation energy	266.0	meV per atom
total magnetic moment	0.00	μB/f.u.

Entry 3:
## CaPm3Nd7 (PBE)

Data for CaPm3Nd7 after structural relaxation.

Cell: 8.8693 7.3011 7.3011 Å, 120.00 90.00 90.00°
Sites, in units of the cell vectors:
Ca (0.4448, 0.3333, 0.6667)
Pm (0.7880, 0.5026, 0.4974)
Pm (0.7880, 0.5026, 0.0053)
Pm (0.7880, 0.9947, 0.4974)
Nd (0.1099, 0.1646, 0.8354)
Nd (0.1099, 0.1646, 0.3292)
Nd (0.1239, 0.6667, 0.3333)
Nd (0.4508, 0.8318, 0.1682)
Nd (0.4508, 0.3363, 0.1682)
Nd (0.4508, 0.8318, 0.6637)
Nd (0.1099, 0.6708, 0.8354)

Results
formation energy	197.3	meV per atom
total magnetic moment	0.00	μB/f.u.

Entry 4:
## CaPm12Nd3 (PBE)

Data for CaPm12Nd3 after structural relaxation.

Cell: 5.1902 5.1902 20.7201 Å, 90.00 90.00 90.00°
Sites, in units of the cell vectors:
Ca (0.0000, 0.0000, 0.0000)
Pm (0.5000, 0.5000, 0.0000)
Pm (0.5000, 0.5000, 0.2498)
Pm (0.5000, 0.5000, 0.5000)
Pm (0.5000, 0.5000, 0.7502)
Pm (0.5000, 0.0000, 0.1285)
Pm (0.5000, 0.0000, 0.3759)
Pm (0.5000, 0.0000, 0.6241)
Pm (0.5000, 0.0000, 0.8715)
Pm (0.0000, 0.5000, 0.1285)
Pm (0.0000, 0.5000, 0.3759)
Pm (0.0000, 0.5000, 0.6241)
Pm (0.0000, 0.5000, 0.8715)
Nd (0.0000, 0.0000, 0.2505)
Nd (0.0000, 0.0000, 0.5000)
Nd (0.0000, 0.0000, 0.7495)

Results
formation energy	29.5	meV per atom
total magnetic moment	0.00	μB/f.u.

Entry 5:
## CaPm14Nd (PBE)

Data for CaPm14Nd after structural relaxation.

Cell: 7.3324 7.3324 10.3385 Å, 90.00 90.00 90.00°
Sites, in units of the cell vectors:
Ca (0.8750, 0.8750, 0.5000)
Pm (0.8750, 0.8750, 0.0000)
Pm (0.3750, 0.3750, 0.0000)
Pm (0.8750, 0.3750, 0.5000)
Pm (0.8750, 0.3750, 0.0000)
Pm (0.3750, 0.8750, 0.5000)
Pm (0.3750, 0.8750, 0.0000)
Pm (0.6219, 0.1281, 0.2468)
Pm (0.6219, 0.1281, 0.7532)
Pm (0.1281, 0.6219, 0.2468)
Pm (0.1281, 0.6219, 0.7532)
Pm (0.6219, 0.6219, 0.2468)
Pm (0.6219, 0.6219, 0.7532)
Pm (0.1281, 0.1281, 0.2468)
Pm (0.1281, 0.1281, 0.7532)
Nd (0.3750, 0.3750, 0.5000)

Results
formation energy	24.7	meV per atom
total magnetic moment	0.00	μB/f.u.

Entry 6:
## Ca2Pm5Nd2 (PBE)

Data for Ca2Pm5Nd2 after structural relaxation.

Cell: 6.4121 9.7944 6.4116 Å, 70.78 60.04 89.97°
Sites, in units of the cell vectors:
Ca (0.3334, 0.0007, 0.3326)
Ca (0.6666, 0.9993, 0.6674)
Pm (0.4432, 0.3408, 0.7720)
Pm (0.5568, 0.6592, 0.2280)
Pm (0.1133, 0.3410, 0.4449)
Pm (0.8867, 0.6590, 0.5551)
Pm (0.0000, 0.0000, 0.0000)
Nd (0.2141, 0.6595, 0.8981)
Nd (0.7859, 0.3405, 0.1019)

Results
formation energy	55.0	meV per atom
total magnetic moment	0.00	μB/f.u.

Entry 7:
## CaPm5Nd2 (PBE)

Data for CaPm5Nd2 after structural relaxation.

Cell: 10.3952 10.3952 11.7236 Å, 55.64 55.64 100.78°
Sites, in units of the cell vectors:
Ca (0.9020, 0.0980, 0.2500)
Ca (0.0980, 0.9020, 0.7500)
Pm (0.5445, 0.4555, 0.7500)
Pm (0.4555, 0.5445, 0.2500)
Pm (0.3045, 0.6973, 0.9172)
Pm (0.1057, 0.8953, 0.0615)
Pm (0.6973, 0.3045, 0.4172)
Pm (0.1047, 0.8943, 0.4385)
Pm (0.8953, 0.1057, 0.5615)
Pm (0.8943, 0.1047, 0.9385)
Pm (0.3027, 0.6955, 0.5828)
Pm (0.6955, 0.3027, 0.0828)
Nd (0.5000, 0.0000, 0.0000)
Nd (0.5000, 0.5000, 0.0000)
Nd (0.5000, 0.5000, 0.5000)
Nd (0.0000, 0.5000, 0.5000)

Results
formation energy	256.4	meV per atom
total magnetic moment	0.00	μB/f.u.

Entry 8:
## CaPm8Nd2 (PBE)

Data for CaPm8Nd2 after structural relaxation.

Cell: 5.6991 8.6121 9.5257 Å, 116.88 107.41 90.00°
Sites, in units of the cell vectors:
Ca (0.5000, 0.0000, 0.0000)
Pm (0.6419, 0.8433, 0.2838)
Pm (0.3581, 0.5595, 0.7163)
Pm (0.1577, 0.1577, 0.3154)
Pm (0.0000, 0.3076, 0.0000)
Pm (0.8423, 0.8423, 0.6846)
Pm (0.6419, 0.4405, 0.2837)
Pm (0.3581, 0.1567, 0.7162)
Pm (0.0000, 0.6924, 0.0000)
Nd (0.2035, 0.7035, 0.4070)
Nd (0.7965, 0.2965, 0.5930)

Results
formation energy	149.4	meV per atom
total magnetic moment	0.00	μB/f.u.

Question: Number 2 is which compound?
Answer: CaPm6Nd12

Question: What is the total magnetic moment in the seventh record?
Answer: 0.00 μB/f.u.

Repeat the third record exactly.
## CaPm3Nd7 (PBE)

Data for CaPm3Nd7 after structural relaxation.

Cell: 8.8693 7.3011 7.3011 Å, 120.00 90.00 90.00°
Sites, in units of the cell vectors:
Ca (0.4448, 0.3333, 0.6667)
Pm (0.7880, 0.5026, 0.4974)
Pm (0.7880, 0.5026, 0.0053)
Pm (0.7880, 0.9947, 0.4974)
Nd (0.1099, 0.1646, 0.8354)
Nd (0.1099, 0.1646, 0.3292)
Nd (0.1239, 0.6667, 0.3333)
Nd (0.4508, 0.8318, 0.1682)
Nd (0.4508, 0.3363, 0.1682)
Nd (0.4508, 0.8318, 0.6637)
Nd (0.1099, 0.6708, 0.8354)

Results
formation energy	197.3	meV per atom
total magnetic moment	0.00	μB/f.u.

Question: Which value of total magnetic moment does entry 5 give?
Answer: 0.00 μB/f.u.